1.
UPaCo5P2 after structural relaxation. Source: the Alexandria database, functional GGA-PBE.

Cell: 3.6757 3.6757 10.3598 Å, 90.00 90.00 90.00°
Space group P4/mmm (No. 123)
Symmetry-distinct sites (fractional):
U1 0.0000 0.0000 0.0000 x1
Pa1 0.0000 0.0000 0.5000 x1
Co1 0.0000 0.5000 0.3180 x4
Co2 0.5000 0.5000 0.0000 x1
P1 0.5000 0.5000 0.2069 x2

Properties
The total energy comes out at -70.66 eV/f.u. Its total magnetic moment is 2.2 μB per formula unit. The value obtained for the energy relative to the elements is -392 meV/atom.

=====

2.
PaVCoP2 after structural relaxation. Source: the Alexandria database, functional GGA-PBE.

Cell: 3.8795 3.8795 9.9864 Å, 90.00 90.00 90.00°
Space group I-4m2 (No. 119)
Symmetry-distinct sites (fractional):
Pa1 0.0000 0.0000 0.0000 x2
V1 0.0000 0.5000 0.2500 x2
Co1 0.0000 0.5000 0.7500 x2
P1 0.0000 0.0000 0.3740 x4

Properties
The total energy comes out at -40.78 eV/f.u. Its total magnetic moment is 1.2 μB per formula unit. The value obtained for the energy relative to the elements is -849 meV/atom.

=====

3.
Pa2VCo3P4 after structural relaxation. Source: the Alexandria database, functional GGA-PBE.

Cell: 3.9879 3.9879 9.0902 Å, 90.00 90.00 90.00°
Space group P-4m2 (No. 115)
Symmetry-distinct sites (fractional):
Pa1 0.0000 0.5000 0.2462 x2
V1 0.0000 0.0000 0.5000 x1
Co1 0.0000 0.5000 0.8917 x2
Co2 0.5000 0.5000 0.5000 x1
P1 0.0000 0.0000 0.0000 x1
P2 0.0000 0.5000 0.6417 x2
P3 0.5000 0.5000 0.0000 x1

Properties
The total energy comes out at -80.69 eV/f.u. Its total magnetic moment is 1.6 μB per formula unit. The value obtained for the energy relative to the elements is -963 meV/atom.

=====

4.
Pa2ZnCo4P3 after structural relaxation. Source: the Alexandria database, functional GGA-PBE.

Cell: 3.8126 3.8126 9.8128 Å, 90.00 90.00 90.00°
Space group P-4m2 (No. 115)
Symmetry-distinct sites (fractional):
Pa1 0.0000 0.5000 0.2462 x2
Zn1 0.0000 0.0000 0.5000 x1
Co1 0.0000 0.0000 0.0000 x1
Co2 0.0000 0.5000 0.6511 x2
Co3 0.5000 0.5000 0.0000 x1
P1 0.0000 0.5000 0.8755 x2
P2 0.5000 0.5000 0.5000 x1

Properties
The total energy comes out at -73.50 eV/f.u. Its total magnetic moment is 1.1 μB per formula unit. The value obtained for the energy relative to the elements is -858 meV/atom.

=====

5.
PaZnCo2P2 after structural relaxation. Source: the Alexandria database, functional GGA-PBE.

Cell: 3.9217 3.9217 6.4181 Å, 90.00 90.00 120.00°
Space group P-3m1 (No. 164)
Symmetry-distinct sites (fractional):
Pa1 0.0000 0.0000 0.0000 x1
Zn1 0.0000 0.0000 0.5000 x1
Co1 0.3333 0.6667 0.3479 x2
P1 0.3333 0.6667 0.7322 x2

Properties
The total energy comes out at -39.84 eV/f.u. Its total magnetic moment is 0.9 μB per formula unit. The value obtained for the energy relative to the elements is -673 meV/atom.

=====

6.
Pa2ZnCo3P4 after structural relaxation. Source: the Alexandria database, functional GGA-PBE.

Cell: 4.0343 4.0343 8.9721 Å, 90.00 90.00 90.00°
Space group P-4m2 (No. 115)
Symmetry-distinct sites (fractional):
Pa1 0.0000 0.5000 0.2425 x2
Zn1 0.0000 0.0000 0.5000 x1
Co1 0.0000 0.5000 0.8935 x2
Co2 0.5000 0.5000 0.5000 x1
P1 0.0000 0.0000 0.0000 x1
P2 0.0000 0.5000 0.6439 x2
P3 0.5000 0.5000 0.0000 x1

Properties
The total energy comes out at -71.49 eV/f.u. Its total magnetic moment is 0.0 μB per formula unit. The value obtained for the energy relative to the elements is -827 meV/atom.

=====

7.
PaZnCo5P2 after structural relaxation. Source: the Alexandria database, functional GGA-PBE.

Cell: 3.8984 3.8984 7.6122 Å, 90.00 90.00 90.00°
Space group P4/mmm (No. 123)
Symmetry-distinct sites (fractional):
Pa1 0.0000 0.0000 0.0000 x1
Zn1 0.0000 0.0000 0.5000 x1
Co1 0.0000 0.5000 0.2898 x4
Co2 0.5000 0.5000 0.5000 x1
P1 0.5000 0.5000 0.1574 x2

Properties
The total energy comes out at -61.77 eV/f.u. Its total magnetic moment is 3.2 μB per formula unit. The value obtained for the energy relative to the elements is -517 meV/atom.

=====

8.
ZrPaCo5P2 after structural relaxation. Source: the Alexandria database, functional GGA-PBE.

Cell: 3.8726 3.8726 8.1532 Å, 90.00 90.00 90.00°
Space group P4/mmm (No. 123)
Symmetry-distinct sites (fractional):
Zr1 0.0000 0.0000 0.0000 x1
Pa1 0.0000 0.0000 0.5000 x1
Co1 0.0000 0.5000 0.2286 x4
Co2 0.5000 0.5000 0.0000 x1
P1 0.5000 0.5000 0.3517 x2

Properties
The total energy comes out at -70.24 eV/f.u. Its total magnetic moment is 1.8 μB per formula unit. The value obtained for the energy relative to the elements is -649 meV/atom.

=====

9.
Co2PPb after structural relaxation. Source: the Alexandria database, functional GGA-PBE.

Cell: 3.0035 3.3449 6.4678 Å, 90.00 97.68 90.00°
Space group P2/m (No. 10)
Symmetry-distinct sites (fractional):
Co1 0.2118 0.0000 0.3358 x2
P1 0.0000 0.5000 0.5000 x1
Pb1 0.5000 0.5000 0.0000 x1

Properties
The relative energy among the computed polymorphs comes out at 281 meV per atom. The total energy comes out at -22.73 eV/f.u. Its total magnetic moment is 0.9 μB per formula unit. The value obtained for the energy relative to the elements is 151 meV/atom.

=====

10.
Co2PPb after structural relaxation. Source: the Alexandria database, functional GGA-PBE.

Cell: 3.6067 3.6067 9.1409 Å, 90.00 90.00 90.00°
Space group I-4m2 (No. 119)
Symmetry-distinct sites (fractional):
Co1 0.0000 0.0000 0.0000 x2
Co2 0.0000 0.5000 0.2500 x2
P1 0.0000 0.5000 0.7500 x2
Pb1 0.0000 0.0000 0.5000 x2

Properties
The relative energy among the computed polymorphs comes out at 666 meV per atom. The total energy comes out at -21.19 eV/f.u. Its total magnetic moment is 0.4 μB per formula unit. The value obtained for the energy relative to the elements is 536 meV/atom.

=====

11.
CoPPb2 after structural relaxation. Source: the Alexandria database, functional GGA-PBE.

Cell: 4.1450 5.1199 8.1101 Å, 90.00 90.00 90.00°
Space group Immm (No. 71)
Symmetry-distinct sites (fractional):
Co1 0.0000 0.0000 0.0000 x2
P1 0.0000 0.0000 0.5000 x2
Pb1 0.0000 0.5000 0.2645 x4

Properties
The total energy comes out at -17.30 eV/f.u. Its total magnetic moment is 1.2 μB per formula unit. The value obtained for the energy relative to the elements is 658 meV/atom.

=====

12.
Co2PPb after structural relaxation. Source: the Alexandria database, functional GGA-PBE.

Cell: 4.1037 4.1111 6.9877 Å, 90.00 90.00 90.00°
Space group Cmmm (No. 65)
Symmetry-distinct sites (fractional):
Co1 0.0000 0.0000 0.1720 x4
P1 0.0000 0.5000 0.0000 x2
Pb1 0.0000 0.5000 0.5000 x2

Properties
The relative energy among the computed polymorphs comes out at 292 meV per atom. The total energy comes out at -22.68 eV/f.u. Its total magnetic moment is 0.5 μB per formula unit. The value obtained for the energy relative to the elements is 162 meV/atom.

=====

Repeat the fifth record exactly.
PaZnCo2P2 after structural relaxation. Source: the Alexandria database, functional GGA-PBE.

Cell: 3.9217 3.9217 6.4181 Å, 90.00 90.00 120.00°
Space group P-3m1 (No. 164)
Symmetry-distinct sites (fractional):
Pa1 0.0000 0.0000 0.0000 x1
Zn1 0.0000 0.0000 0.5000 x1
Co1 0.3333 0.6667 0.3479 x2
P1 0.3333 0.6667 0.7322 x2

Properties
The total energy comes out at -39.84 eV/f.u. Its total magnetic moment is 0.9 μB per formula unit. The value obtained for the energy relative to the elements is -673 meV/atom.

=====

What did the eleventh record say?
CoPPb2 after structural relaxation. Source: the Alexandria database, functional GGA-PBE.

Cell: 4.1450 5.1199 8.1101 Å, 90.00 90.00 90.00°
Space group Immm (No. 71)
Symmetry-distinct sites (fractional):
Co1 0.0000 0.0000 0.0000 x2
P1 0.0000 0.0000 0.5000 x2
Pb1 0.0000 0.5000 0.2645 x4

Properties
The total energy comes out at -17.30 eV/f.u. Its total magnetic moment is 1.2 μB per formula unit. The value obtained for the energy relative to the elements is 658 meV/atom.

=====

What did the second record say?
PaVCoP2 after structural relaxation. Source: the Alexandria database, functional GGA-PBE.

Cell: 3.8795 3.8795 9.9864 Å, 90.00 90.00 90.00°
Space group I-4m2 (No. 119)
Symmetry-distinct sites (fractional):
Pa1 0.0000 0.0000 0.0000 x2
V1 0.0000 0.5000 0.2500 x2
Co1 0.0000 0.5000 0.7500 x2
P1 0.0000 0.0000 0.3740 x4

Properties
The total energy comes out at -40.78 eV/f.u. Its total magnetic moment is 1.2 μB per formula unit. The value obtained for the energy relative to the elements is -849 meV/atom.

=====

> Number 12 is which compound?

Co2PPb